Rb2AlInGe PBEsol optimized geometry; magnetization = 1.574 μB/f.u.; DFT total energy = -10.579 eV per formula unit; space-group type = No. 123
1.0
-2.9712 3.8027 1.4058
-0.2828 -2.5035 6.1742
5.3712 3.5706 1.6938
Rb In Ge Al
2 1 1 1
Direct
0.0000 0.0000 0.5000 Rb
0.0000 0.5000 0.0000 Rb
0.5000 0.0000 0.0000 In
0.5000 0.5000 0.5000 Ge
0.0000 0.0000 0.0000 Al


HfSiTe2N PBEsol optimized geometry; magnetization = 0.000 μB/f.u.; space-group type = No. 123; ΔE_f (raw) = 0.25 eV/atom
1.0
3.9129 0.0000 0.0000
0.0000 5.6073 0.0000
0.0000 0.0000 5.6073
N Hf Si Te
1 1 1 2
Direct
0.5000 0.0000 0.0000 N
0.0000 0.0000 0.0000 Hf
0.5000 0.5000 0.5000 Si
0.0000 0.5000 0.0000 Te
0.0000 0.0000 0.5000 Te


ZrBe PBEsol optimized geometry; magnetization = 0.000 μB/f.u.; DFT total energy = -13.211 eV per formula unit; space-group type = No. 63
1.0
-2.9118 0.4922 1.3203
0.0027 -3.5484 1.3288
3.6677 1.3583 3.6196
Zr Be
2 2
Direct
0.1536 0.2500 0.3072 Zr
0.8464 0.7500 0.6928 Zr
0.5595 0.7500 0.1190 Be
0.4405 0.2500 0.8810 Be


BiRu3O PBEsol optimized geometry; magnetization = 0.001 μB/f.u.; space-group type = No. 221; ΔE_f (raw) = 0.42 eV/atom
1.0
4.1430 0.0000 0.0000
0.0000 4.1430 0.0000
0.0000 0.0000 4.1430
Ru O Bi
3 1 1
Direct
0.0000 0.5000 0.0000 Ru
0.0000 0.0000 0.5000 Ru
0.5000 0.0000 0.0000 Ru
0.0000 0.0000 0.0000 O
0.5000 0.5000 0.5000 Bi


Si3Sb PBEsol optimized geometry; magnetization = 0.000 μB/f.u.; space-group type = No. 139; ΔE_f (raw) = 0.34 eV/atom
1.0
-0.5391 1.7034 -3.1608
-3.5526 0.2107 0.7195
3.6551 8.9264 6.2724
Sb Si
2 6
Direct
0.3961 0.3961 0.7923 Sb
0.6039 0.6039 0.2077 Sb
0.2500 0.7500 0.5000 Si
0.8283 0.8283 0.6567 Si
0.7500 0.2500 0.5000 Si
0.0000 0.5000 0.0000 Si
0.5000 0.0000 0.0000 Si
0.1717 0.1717 0.3433 Si


Cr2Tc PBEsol optimized geometry; energy above the most stable polymorph in this dataset = 3.7 kJ/mol of atoms; magnetization = 0.000 μB/f.u.; space-group type = No. 164
1.0
-1.5426 1.4911 -1.3779
-3.2236 -2.0846 1.3530
1.3214 3.2598 2.0482
Cr Tc
2 1
Direct
0.6536 0.6667 0.3333 Cr
0.3464 0.3333 0.6667 Cr
0.0000 0.0000 0.0000 Tc


Ta2MnO6 PBEsol optimized geometry; energy above the most stable polymorph in this dataset = 0.0 kJ/mol of atoms; magnetization = 5.000 μB/f.u.; space-group type = No. 136; ΔE_f (raw) = -2.53 eV/atom
1.0
-3.4625 2.6210 -1.9479
-1.2398 -3.6816 -2.7499
-5.8678 -2.9001 6.5280
O Ta Mn
12 4 2
Direct
0.6890 0.6890 0.0000 O
0.2054 0.7946 0.8214 O
0.7054 0.7054 0.6786 O
0.8110 0.1890 0.5000 O
0.1890 0.8110 0.5000 O
0.7946 0.2054 0.1786 O
0.2054 0.7946 0.1786 O
0.2946 0.2946 0.3214 O
0.2946 0.2946 0.6786 O
0.7054 0.7054 0.3214 O
0.3110 0.3110 0.0000 O
0.7946 0.2054 0.8214 O
0.5000 0.5000 0.8327 Ta
0.0000 0.0000 0.3327 Ta
0.5000 0.5000 0.1673 Ta
0.0000 0.0000 0.6673 Ta
0.0000 0.0000 0.0000 Mn
0.5000 0.5000 0.5000 Mn


CsCa3O PBEsol optimized geometry; magnetization = 4.000 μB/f.u.; space-group type = No. 221; ΔE_f (raw) = 1.44 eV/atom
1.0
5.8971 0.0000 0.0000
0.0000 5.8971 0.0000
0.0000 0.0000 5.8971
Ca Cs O
3 1 1
Direct
0.0000 0.5000 0.0000 Ca
0.5000 0.0000 0.0000 Ca
0.0000 0.0000 0.5000 Ca
0.0000 0.0000 0.0000 Cs
0.5000 0.5000 0.5000 O


HSBr2 PBEsol optimized geometry; magnetization = 0.001 μB/f.u.; DFT total energy = -8.557 eV per formula unit; space-group type = No. 122
1.0
5.6794 0.2293 0.3457
-2.2935 5.2007 -0.3457
-2.2935 -2.3405 4.6572
H Br S
2 4 2
Direct
0.0000 0.5000 0.5000 H
0.5000 0.2500 0.7500 H
0.5632 0.1882 0.1250 Br
0.4368 0.5618 0.6250 Br
0.9368 0.3750 0.8118 Br
0.0632 0.8750 0.4382 Br
0.0000 0.0000 0.0000 S
0.5000 0.7500 0.2500 S


Rb2ScMn2 PBEsol optimized geometry; magnetization = 6.787 μB/f.u.; DFT total energy = -19.733 eV per formula unit; space-group type = No. 139
1.0
-1.7993 3.3522 4.2390
-1.0030 -6.4304 0.8326
3.5714 -2.6156 3.5843
Rb Mn Sc
2 2 1
Direct
0.6414 0.2828 0.3586 Rb
0.3586 0.7172 0.6414 Rb
0.7500 0.5000 0.7500 Mn
0.2500 0.5000 0.2500 Mn
0.0000 0.0000 0.0000 Sc


LiNi9O10 PBEsol optimized geometry; magnetization = 0.740 μB/f.u.; space-group type = No. 2; ΔE_f (raw) = -0.75 eV/atom
1.0
5.0207 0.0000 0.0033
-1.6736 5.5311 0.0121
-0.8529 -1.7518 6.1760
O Ni Li
10 9 1
Direct
0.5033 0.7509 0.4950 O
0.4967 0.2491 0.5050 O
0.3097 0.8652 0.1077 O
0.3090 0.3430 0.1065 O
0.6903 0.1348 0.8923 O
0.1053 0.9479 0.6998 O
0.8916 0.5473 0.3094 O
0.1084 0.4527 0.6906 O
0.8947 0.0521 0.3002 O
0.6910 0.6570 0.8935 O
0.4020 0.3038 0.8054 Ni
0.8000 0.5985 0.6039 Ni
0.5980 0.6962 0.1946 Ni
0.2000 0.4015 0.3961 Ni
0.8018 0.1041 0.6046 Ni
0.6042 0.2022 0.1988 Ni
0.3958 0.7978 0.8012 Ni
0.0000 0.0000 0.0000 Ni
0.1982 0.8959 0.3954 Ni
0.0000 0.5000 0.0000 Li


BTeRuI2 PBEsol optimized geometry; magnetization = 2.337 μB/f.u.; space-group type = No. 123; ΔE_f (raw) = 1.40 eV/atom
1.0
4.7466 0.0000 0.0000
0.0000 4.8326 0.0000
0.0000 0.0000 4.8326
Te I Ru B
1 2 1 1
Direct
0.5000 0.0000 0.0000 Te
0.0000 0.0000 0.5000 I
0.0000 0.5000 0.0000 I
0.5000 0.5000 0.5000 Ru
0.0000 0.0000 0.0000 B


CdFe2Tc PBEsol optimized geometry; magnetization = 4.793 μB/f.u.; DFT total energy = -29.073 eV per formula unit; space-group type = No. 35
1.0
-1.4311 1.9181 1.0583
0.4141 -1.7907 1.8626
7.0980 4.0292 2.2956
Cd Fe Tc
1 2 1
Direct
0.5000 0.5000 0.2402 Cd
0.5000 0.5000 0.7588 Fe
0.0000 0.0000 0.9727 Fe
0.0000 0.0000 0.5283 Tc


MgMn2Cr PBEsol optimized geometry; magnetization = 2.180 μB/f.u.; DFT total energy = -29.909 eV per formula unit; space-group type = No. 123
1.0
-0.6262 0.7992 2.8156
-3.9565 0.4680 -1.0127
-0.7106 -3.9337 0.9585
Mn Mg Cr
2 1 1
Direct
0.0000 0.0000 0.5000 Mn
0.0000 0.5000 0.0000 Mn
0.5000 0.0000 0.0000 Mg
0.5000 0.5000 0.5000 Cr


Ti2MnP3O12 PBEsol optimized geometry; magnetization = 6.057 μB/f.u.; space-group type = No. 167; ΔE_f (raw) = -2.41 eV/atom
1.0
8.5449 -0.0305 -0.0216
4.2382 7.4198 -0.0216
4.2382 2.4499 7.0037
O Ti P Mn
24 4 6 2
Direct
0.1848 0.9992 0.3847 O
0.2608 0.9123 0.0584 O
0.9992 0.3847 0.1848 O
0.3152 0.1153 0.5008 O
0.6153 0.8152 0.0008 O
0.8847 0.4992 0.6848 O
0.7392 0.0877 0.9416 O
0.5584 0.4123 0.7608 O
0.6848 0.8847 0.4992 O
0.5008 0.3152 0.1153 O
0.9416 0.7392 0.0877 O
0.1153 0.5008 0.3152 O
0.5877 0.2392 0.4416 O
0.4416 0.5877 0.2392 O
0.0877 0.9416 0.7392 O
0.0008 0.6153 0.8152 O
0.0584 0.2608 0.9123 O
0.4992 0.6848 0.8847 O
0.4123 0.7608 0.5584 O
0.2392 0.4416 0.5877 O
0.7608 0.5584 0.4123 O
0.8152 0.0008 0.6153 O
0.3847 0.1848 0.9992 O
0.9123 0.0584 0.2608 O
0.3554 0.3554 0.3554 Ti
0.1446 0.1446 0.1446 Ti
0.6446 0.6446 0.6446 Ti
0.8554 0.8554 0.8554 Ti
0.5441 0.2500 0.9559 P
0.9559 0.5441 0.2500 P
0.7500 0.0441 0.4559 P
0.4559 0.7500 0.0441 P
0.0441 0.4559 0.7500 P
0.2500 0.9559 0.5441 P
0.0000 0.0000 0.0000 Mn
0.5000 0.5000 0.5000 Mn


CrAgF2 PBEsol optimized geometry; magnetization = 3.967 μB/f.u.; space-group type = No. 166; ΔE_f (raw) = -1.19 eV/atom
1.0
3.1464 0.0000 0.0000
1.5732 2.7248 0.0000
1.5732 0.9083 7.9610
F Cr Ag
2 1 1
Direct
0.1265 0.1265 0.6206 F
0.8735 0.8735 0.3794 F
0.5000 0.5000 0.5000 Cr
0.0000 0.0000 0.0000 Ag


LiHgRu PBEsol optimized geometry; energy above the most stable polymorph in this dataset = 42.0 kJ/mol of atoms; magnetization = 1.443 μB/f.u.; space-group type = No. 216
1.0
-0.8710 1.1874 -4.0697
-4.0720 -0.1105 -1.4621
-2.1238 3.6916 -0.7696
Li Hg Ru
1 1 1
Direct
0.0000 0.0000 0.0000 Li
0.2500 0.2500 0.2500 Hg
0.5000 0.5000 0.5000 Ru


In2AsRh PBEsol optimized geometry; magnetization = 0.000 μB/f.u.; DFT total energy = -19.913 eV per formula unit; space-group type = No. 99
1.0
-0.0747 2.7340 1.4410
1.0963 -1.3242 2.5693
7.6328 1.5138 -2.4766
In As Rh
2 1 1
Direct
0.5000 0.5000 0.2957 In
0.0000 0.0000 0.9882 In
0.5000 0.5000 0.6870 As
0.0000 0.0000 0.5290 Rh


Y3Co2Si3 PBEsol optimized geometry; magnetization = 0.000 μB/f.u.; space-group type = No. 63; ΔE_f (raw) = -0.82 eV/atom
1.0
4.0432 0.0000 0.0000
-2.0216 5.1692 0.0000
0.0000 0.0000 13.4291
Y Si Co
6 6 4
Direct
0.3621 0.7242 0.2500 Y
0.6379 0.2758 0.7500 Y
0.0806 0.1612 0.1121 Y
0.9194 0.8388 0.8879 Y
0.9194 0.8388 0.6121 Y
0.0806 0.1612 0.3879 Y
0.6205 0.2410 0.9597 Si
0.6205 0.2410 0.5403 Si
0.3306 0.6612 0.7500 Si
0.6694 0.3388 0.2500 Si
0.3795 0.7590 0.0403 Si
0.3795 0.7590 0.4597 Si
0.2157 0.4315 0.5793 Co
0.7843 0.5685 0.4207 Co
0.7843 0.5685 0.0793 Co
0.2157 0.4315 0.9207 Co


YHg2Ir PBEsol optimized geometry; energy above the most stable polymorph in this dataset = 46.6 kJ/mol of atoms; magnetization = 0.000 μB/f.u.; space-group type = No. 166
1.0
-0.6450 -1.1717 2.8366
-0.7474 -3.0297 0.3122
8.6936 -3.5360 2.2497
Y Hg Ir
1 2 1
Direct
0.0000 0.0000 0.0000 Y
0.7569 0.7569 0.7292 Hg
0.2431 0.2431 0.2708 Hg
0.5000 0.5000 0.5000 Ir